Compound: KNa2VF8
Source: Alexandria via LeMat-Bulk
Functional: PBE+U
Structure: relaxed

Cell lengths 4.899, 4.973, 7.574 Å; angles 89.94, 89.95, 91.68 degrees
Last column: magnetic moment on the atom in μB.
Fractional positions:
F1 0.854 0.212 0.176  -0.01
F2 0.855 0.212 0.824  -0.01
F3 0.522 0.743 0.500  0.27
F4 0.145 0.788 0.176  -0.01
F5 0.146 0.788 0.824  -0.01
F6 0.478 0.257 0.500  0.27
F7 0.304 0.229 0.000  -0.01
F8 0.696 0.771 0.000  -0.01
V1 0.000 0.000 0.000  0.64
Na1 0.500 0.501 0.245  0.00
Na2 0.500 0.499 0.755  0.00
K1 0.000 0.000 0.500  0.00

Results
calculated total energy: -4.780 eV/atom